DFT (PBE) results for a geometry-optimized Li6Cd8Ag structure.

Output
Total moment: 0.0 μB per cell
Energy of formation: -0.111 eV/atom
D(E_F): 0.38 states/eV per atom

Cell lengths 8.4290, 8.4290, 14.5835 Å; angles 90.00, 90.00, 120.00 degrees
Space group R-3 (No. 148, hexagonal axes)
Inequivalent atoms, fractional coordinates:
Li 0.0001 0.3349 0.1664
Cd 0.0000 0.0000 0.1182
Cd 0.0860 0.5441 0.3336
Ag 0.0000 0.0000 0.5000



DFT (PBE) results for a geometry-optimized LiCd6Ag2 structure.

Output
Total moment: 0.0 μB per cell
Energy of formation: -0.077 eV/atom
D(E_F): 0.32 states/eV per atom

Cell lengths 4.8306, 4.8306, 9.0049 Å; angles 90.00, 90.00, 120.00 degrees
Space group P-3m1 (No. 164)
Inequivalent atoms, fractional coordinates:
Li 0.0000 0.0000 0.0000
Cd 0.0000 0.0000 0.3147
Cd 0.3333 0.6667 0.5551
Cd 0.3333 0.6667 0.8952
Ag 0.3333 0.6667 0.2147



DFT (PBE) results for a geometry-optimized LiCd3Ag3 structure.

Output
Total moment: 0.0 μB per cell
Energy of formation: -0.024 eV/atom
D(E_F): 0.16 states/eV per atom

Cell lengths 6.8485, 6.8485, 21.2605 Å; angles 90.00, 90.00, 120.00 degrees
Space group R-3 (No. 148, hexagonal axes)
Inequivalent atoms, fractional coordinates:
Li 0.0000 0.0000 0.1927
Cd 0.0381 0.6056 0.2242
Ag 0.0389 0.7750 0.7016



DFT (PBE) results for a geometry-optimized Li2Cd7Ag structure.

Output
Total moment: 0.0 μB per cell
Energy of formation: -0.047 eV/atom
D(E_F): 0.36 states/eV per atom

Cell lengths 4.7273, 4.7273, 11.3190 Å; angles 90.00, 90.00, 120.00 degrees
Space group P3m1 (No. 156)
Inequivalent atoms, fractional coordinates:
Li 0.0000 0.0000 0.0000
Li 0.3333 0.6667 0.6000
Cd 0.0000 0.0000 0.2345
Cd 0.0000 0.0000 0.5017
Cd 0.0000 0.0000 0.7635
Cd 0.3333 0.6667 0.3359
Cd 0.3333 0.6667 0.8839
Cd 0.6667 0.3333 0.1075
Cd 0.6667 0.3333 0.6774
Ag 0.6667 0.3333 0.4142